[1]
An optimized crystal structure of Ni2HgPt, computed with GGA-PBE.

Cell: 4.493 2.812 4.575 Å, 90.00 90.00 90.00°
Fractional positions:
Ni  0.000  0.125  0.930
Ni  0.500  0.125  0.329
Hg  0.500  0.625  0.830
Pt  0.000  0.625  0.410

The crystal system is orthorhombic. The formation energy comes out at 9.9 kJ/mol of atoms.



[2]
An optimized crystal structure of RbMnAg2Cl8, computed with GGA-PBE.

Cell: 6.294 6.771 9.317 Å, 62.26 85.41 91.33°
Fractional positions:
Cl  0.133  0.766  0.241
Cl  0.245  0.894  0.859
Cl  0.867  0.234  0.759
Cl  0.768  0.713  0.035
Cl  0.755  0.106  0.141
Cl  0.495  0.725  0.558
Cl  0.505  0.275  0.442
Cl  0.232  0.287  0.965
Rb  0.000  0.000  0.500
Mn  0.000  0.000  0.000
Ag  0.564  0.698  0.294
Ag  0.436  0.302  0.706

For the energy relative to the elements, uncorrected, the calculation gives -0.84 eV per atom. The crystal system is triclinic.



[3]
An optimized crystal structure of La2Y3Os2, computed with GGA-PBE.

Cell: 3.950 6.469 8.653 Å, 101.51 103.19 107.77°
Fractional positions:
Os  0.952  0.132  0.773
Os  0.048  0.868  0.227
La  0.368  0.534  0.201
La  0.632  0.466  0.799
Y  0.500  0.000  0.000
Y  0.796  0.172  0.421
Y  0.204  0.828  0.579

The crystal system is monoclinic. The formation energy comes out at -18.1 kJ/mol of atoms.



[4]
An optimized crystal structure of BTe2C, computed with GGA-PBE.

Cell: 7.238 7.238 7.238 Å, 31.11 31.11 31.11°
Fractional positions:
Te  0.900  0.900  0.900
Te  0.100  0.100  0.100
B  0.000  0.000  0.000
C  0.500  0.500  0.500

For the energy relative to the elements, uncorrected, the calculation gives 1.80 eV per atom. The crystal system is trigonal. As for the energy relative to the lowest polymorph listed for this composition: 0.371 eV per atom.



[5]
An optimized crystal structure of ThAlFe2H8, computed with GGA-PBE.

Cell: 4.424 4.424 6.029 Å, 68.48 68.48 60.00°
Fractional positions:
H  0.639  0.105  0.861
H  0.802  0.802  0.593
H  0.198  0.198  0.407
H  0.394  0.639  0.861
H  0.895  0.606  0.139
H  0.606  0.361  0.139
H  0.361  0.895  0.139
H  0.105  0.394  0.861
Fe  0.299  0.299  0.102
Fe  0.701  0.701  0.898
Th  0.500  0.500  0.500
Al  0.000  0.000  0.000

The calculation puts the total energy at -4.72 eV per atom. The crystal system is trigonal.



[6]
An optimized crystal structure of BP3RhC, computed with GGA-PBE.

Cell: 3.055 5.086 5.882 Å, 71.34 75.05 90.04°
Fractional positions:
P  0.230  0.577  0.050
P  0.369  0.347  0.776
P  0.581  0.037  0.348
B  0.959  0.330  0.595
C  0.087  0.276  0.337
Rh  0.770  0.931  0.970

The crystal system is triclinic. The formation energy comes out at 1.8 kJ/mol of atoms. As for the energy relative to the lowest polymorph listed for this composition: 0.000 eV per atom.



[7]
An optimized crystal structure of TiZn2Pd5, computed with GGA-PBE.

Cell: 6.624 6.624 7.263 Å, 117.13 117.13 90.00°
Fractional positions:
Pd  0.006  0.506  0.319
Pd  0.687  0.187  0.681
Pd  0.494  0.687  0.681
Pd  0.994  0.494  0.681
Pd  0.506  0.313  0.319
Pd  0.000  0.000  0.000
Pd  0.813  0.006  0.319
Pd  0.500  0.500  0.000
Pd  0.313  0.813  0.319
Pd  0.187  0.994  0.681
Zn  0.643  0.143  0.000
Zn  0.143  0.357  0.000
Zn  0.857  0.643  0.000
Zn  0.357  0.857  0.000
Ti  0.250  0.250  0.500
Ti  0.750  0.750  0.500

The crystal system is tetragonal. The formation energy comes out at -43.7 kJ/mol of atoms.



[8]
An optimized crystal structure of Sm5DyHo5, computed with GGA-PBE.

Cell: 6.080 6.080 11.678 Å, 90.00 90.00 120.00°
Fractional positions:
Ho  0.833  0.167  0.500
Ho  0.000  0.000  0.265
Ho  0.334  0.167  0.500
Ho  0.833  0.666  0.500
Ho  0.000  0.000  0.735
Sm  0.333  0.667  0.683
Sm  0.000  0.000  0.000
Sm  0.667  0.333  0.846
Sm  0.333  0.667  0.317
Sm  0.667  0.333  0.154
Dy  0.333  0.667  0.000

The crystal system is hexagonal. The formation energy comes out at 29.5 kJ/mol of atoms.



[9]
An optimized crystal structure of La2PmGa6, computed with GGA-PBE.

Cell: 4.405 7.451 7.451 Å, 120.00 90.00 90.00°
Fractional positions:
Ga  0.500  0.000  0.332
Ga  0.500  0.332  0.000
Ga  0.500  0.668  0.668
Ga  0.500  0.000  0.668
Ga  0.500  0.668  0.000
Ga  0.500  0.332  0.332
La  0.000  0.667  0.333
La  0.000  0.333  0.667
Pm  0.000  0.000  0.000

The crystal system is hexagonal. The formation energy comes out at -67.0 kJ/mol of atoms. As for the energy relative to the lowest polymorph listed for this composition: 0.000 eV per atom.



[10]
An optimized crystal structure of Fe2Ni2Au, computed with GGA-PBE.

Cell: 7.041 7.041 2.632 Å, 90.00 90.00 90.00°
Fractional positions:
Au  0.000  0.000  0.000
Au  0.500  0.500  0.000
Fe  0.121  0.379  0.000
Fe  0.621  0.121  0.000
Fe  0.379  0.879  0.000
Fe  0.879  0.621  0.000
Ni  0.171  0.671  0.500
Ni  0.671  0.829  0.500
Ni  0.829  0.329  0.500
Ni  0.329  0.171  0.500

The crystal system is tetragonal. The formation energy comes out at 13.8 kJ/mol of atoms. As for the energy relative to the lowest polymorph listed for this composition: 0.069 eV per atom.



[11]
An optimized crystal structure of ScV2Pt2, computed with GGA-PBE.

Cell: 7.662 7.662 2.731 Å, 90.00 90.00 90.00°
Fractional positions:
Pt  0.181  0.681  0.500
Pt  0.819  0.319  0.500
Pt  0.681  0.819  0.500
Pt  0.319  0.181  0.500
V  0.111  0.389  0.000
V  0.611  0.111  0.000
V  0.389  0.889  0.000
V  0.889  0.611  0.000
Sc  0.000  0.000  0.000
Sc  0.500  0.500  0.000

The crystal system is tetragonal. The formation energy comes out at -47.8 kJ/mol of atoms. As for the energy relative to the lowest polymorph listed for this composition: 0.006 eV per atom.



[12]
An optimized crystal structure of Cs2Zn6As3, computed with GGA-PBE.

Cell: 4.294 9.036 9.036 Å, 120.00 90.00 90.00°
Fractional positions:
Zn  0.500  0.000  0.225
Zn  0.000  0.837  0.000
Zn  0.500  0.225  0.000
Zn  0.000  0.163  0.163
Zn  0.000  0.000  0.837
Zn  0.500  0.775  0.775
As  0.500  0.686  0.000
As  0.500  0.314  0.314
As  0.500  0.000  0.686
Cs  0.000  0.667  0.333
Cs  0.000  0.333  0.667

The crystal system is hexagonal. The formation energy comes out at -14.9 kJ/mol of atoms.